Compound: P2IrOsS
Source: the Alexandria database
Functional: SCAN
Structure: PBEsol geometry

Space group: P4/mmm
Volume: 17.86 Å³/atom
Size of the total moment: 0.00 μB/f.u.
DFT total energy: -166.60 eV/f.u.

abc: 4.485 4.485 4.440
angles: 90.00 90.00 90.00
Element x y z (fractional)
P: 0.000 0.500 0.000
P: 0.500 0.000 0.000
Ir: 0.000 0.000 0.500
Os: 0.500 0.500 0.000
S: 0.500 0.500 0.500

=====

Compound: TiMnTeN2
Source: the Alexandria database
Functional: SCAN
Structure: PBEsol geometry

Space group: P4/mmm
Volume: 14.30 Å³/atom
Size of the total moment: 2.74 μB/f.u.
DFT total energy: -87.65 eV/f.u.

abc: 3.708 3.708 5.202
angles: 90.00 90.00 90.00
Element x y z (fractional)
Ti: 0.000 0.000 0.000
Mn: 0.500 0.500 0.500
Te: 0.500 0.500 0.000
N: 0.000 0.500 0.500
N: 0.500 0.000 0.500